1.
Density functional theory data (GGA-PBE) for a relaxed EuCdCuRh crystal.

a = 4.808 Å, b = 4.808 Å, c = 4.808 Å
α = 60.00°, β = 60.00°, γ = 60.00°
Positions (direct):
Eu: 0.000 0.000 0.000
Cd: 0.500 0.500 0.500
Cu: 0.750 0.750 0.750
Rh: 0.250 0.250 0.250

Computed properties:
The space-group type is F-43m (216). The value obtained for the calculated volume is 19.6 A^3/atom. The magnetization is 6.83 Bohr magnetons per cell. The raw total energy is -5.77 eV per atom. Its formation energy is -0.108 eV per atom. The calculation puts the density of states at the Fermi level at 10.9 states/eV per cell.

---

2.
Density functional theory data (GGA-PBE) for a relaxed EuScCdCu crystal.

a = 5.098 Å, b = 5.098 Å, c = 5.098 Å
α = 60.00°, β = 60.00°, γ = 60.00°
Positions (direct):
Eu: 0.000 0.000 0.000
Sc: 0.500 0.500 0.500
Cd: 0.250 0.250 0.250
Cu: 0.750 0.750 0.750

Computed properties:
The space-group type is F-43m (216). The value obtained for the calculated volume is 23.4 A^3/atom. The magnetization is 7.15 Bohr magnetons per cell. The raw total energy is -5.51 eV per atom. Its formation energy is -0.101 eV per atom. The calculation puts the density of states at the Fermi level at 4.1 states/eV per cell.

---

3.
Density functional theory data (GGA-PBE) for a relaxed TbEuCdCu crystal.

a = 5.244 Å, b = 5.244 Å, c = 5.244 Å
α = 60.00°, β = 60.00°, γ = 60.00°
Positions (direct):
Tb: 0.000 0.000 0.000
Eu: 0.500 0.500 0.500
Cd: 0.750 0.750 0.750
Cu: 0.250 0.250 0.250

Computed properties:
The space-group type is F-43m (216). The value obtained for the calculated volume is 25.5 A^3/atom. The magnetization is 7.17 Bohr magnetons per cell. The raw total energy is -5.15 eV per atom. Its formation energy is -0.171 eV per atom. The calculation puts the density of states at the Fermi level at 6.6 states/eV per cell.

---

4.
Density functional theory data (GGA-PBE) for a relaxed EuTlCdCu crystal.

a = 5.117 Å, b = 5.117 Å, c = 5.117 Å
α = 60.00°, β = 60.00°, γ = 60.00°
Positions (direct):
Eu: 0.000 0.000 0.000
Tl: 0.750 0.750 0.750
Cd: 0.500 0.500 0.500
Cu: 0.250 0.250 0.250

Computed properties:
The space-group type is F-43m (216). The value obtained for the calculated volume is 23.7 A^3/atom. The magnetization is 7.10 Bohr magnetons per cell. The raw total energy is -4.51 eV per atom. Its formation energy is -0.101 eV per atom. The calculation puts the density of states at the Fermi level at 10.8 states/eV per cell.